[1]
! Sm6Ni2Pt | the Alexandria database | PBE | optimized geometry; values from VASP
&SYSTEM
  ibrav = 0, nat = 18, ntyp = 3
/
ATOMIC_SPECIES
Ni 58.69 Ni.upf
Sm 150.36 Sm.upf
Pt 195.08 Pt.upf
CELL_PARAMETERS angstrom
7.951 0.127 -2.750
-4.198 6.830 -2.555
0.054 -0.127 8.413
ATOMIC_POSITIONS angstrom
Ni -1.487 6.830 -0.637
Sm -1.610 6.657 2.276
Sm 2.416 1.886 -0.449
Sm 5.448 1.799 -2.328
Ni 1.096 6.830 1.190
Ni 1.387 4.271 -1.960
Sm 4.006 2.456 2.827
Sm -1.641 5.031 5.436
Sm 1.391 4.944 3.557
Sm -0.199 4.374 0.281
Pt 5.879 3.478 0.179
Ni 2.421 2.559 5.068
Sm 4.134 5.071 -2.878
Sm 0.436 1.672 2.500
Sm 3.372 5.158 0.607
Sm 5.418 0.173 0.831
Pt 0.054 -0.127 8.413
Sm -0.327 1.759 5.985
! Energy (eV/atom): -5.52
! Formation energy (eV/atom): -0.422


[2]
! ScCF | the Alexandria database | PBE | optimized geometry; values from VASP
&SYSTEM
  ibrav = 0, nat = 6, ntyp = 3
/
ATOMIC_SPECIES
Sc 44.96 Sc.upf
C 12.01 C.upf
F 19.00 F.upf
CELL_PARAMETERS angstrom
-0.732 -3.509 -0.485
2.184 -1.019 -2.698
4.133 -1.608 3.636
ATOMIC_POSITIONS angstrom
Sc 1.178 -1.160 0.246
C 1.167 -1.887 -1.927
F 2.824 -4.246 -1.057
F 2.760 -1.890 1.510
Sc 4.406 -4.976 0.207
C 0.285 -2.641 -1.257
! Energy (eV/atom): -7.60
! Distance to the lowest polymorph of the same formula (eV per atom): 0.082


[3]
! Ho5Er2TmSc | the Alexandria database | PBE | optimized geometry; values from VASP
&SYSTEM
  ibrav = 0, nat = 18, ntyp = 4
/
ATOMIC_SPECIES
Tm 168.93 Tm.upf
Ho 164.93 Ho.upf
Er 167.26 Er.upf
Sc 44.96 Sc.upf
CELL_PARAMETERS angstrom
-1.746 -1.617 4.927
-4.166 -6.571 -6.671
8.214 -6.122 0.901
ATOMIC_POSITIONS angstrom
Tm -0.359 -8.829 -3.025
Ho 0.924 -2.540 2.532
Er -2.813 -7.967 -0.573
Er 1.435 -3.545 -0.655
Ho 1.220 -11.653 -3.392
Ho -3.629 -5.696 -3.155
Sc 0.282 -8.462 0.361
Tm 6.068 -8.022 2.555
Ho -0.153 -6.022 -2.030
Ho -1.493 -11.100 -1.134
Ho 2.762 -8.753 -1.894
Ho 3.595 -9.139 1.312
Ho -1.198 -5.008 0.970
Ho 2.169 -5.811 1.899
Er 1.870 -11.514 -0.078
Er 4.915 -6.194 -0.292
Sc -1.843 -2.969 -1.627
Ho -0.034 -0.356 -0.129
! Energy (eV/atom): -4.59
! Formation energy (eV/atom): 0.167